Record 1
Material: PrHfRu4
Method: DFT, GGA-PBE
State: optimized geometry

abc: 5.319 5.319 5.319
angles: 60.00 60.00 60.00
Positions (direct):
Pr1 0.000 0.000 0.000
Hf1 0.250 0.250 0.250
Ru1 0.127 0.624 0.624
Ru2 0.624 0.127 0.624
Ru3 0.624 0.624 0.127
Ru4 0.624 0.624 0.624

Results
- calculated total energy (eV/atom) = -8.79
- N(E_F) (states/eV/atom) = 0.94
- symmetry = F-43m



Record 2
Material: Pr2HfS5
Method: DFT, GGA-PBE
State: optimized geometry

abc: 7.411 7.411 13.060
angles: 90.00 90.00 138.47
Positions (direct):
Pr1 0.143 0.857 0.566
Pr2 0.143 0.857 0.934
Pr3 0.857 0.143 0.066
Pr4 0.857 0.143 0.434
Hf1 0.183 0.817 0.250
Hf2 0.817 0.183 0.750
S1 0.049 0.951 0.124
S2 0.049 0.951 0.376
S3 0.276 0.724 0.750
S4 0.296 0.704 0.092
S5 0.296 0.704 0.408
S6 0.704 0.296 0.592
S7 0.704 0.296 0.908
S8 0.724 0.276 0.250
S9 0.951 0.049 0.624
S10 0.951 0.049 0.876

Results
- calculated total energy (eV/atom) = -6.80
- N(E_F) (states/eV/atom) = 0.00
- symmetry = Cmcm



Record 3
Material: PrHfS3
Method: DFT, GGA-PBE
State: optimized geometry

abc: 8.397 8.397 8.045
angles: 91.59 91.59 25.39
Positions (direct):
Pr1 0.200 0.200 0.239
Pr2 0.800 0.800 0.761
Hf1 0.418 0.418 0.283
Hf2 0.582 0.582 0.717
S1 0.021 0.021 0.273
S2 0.178 0.178 0.605
S3 0.347 0.347 0.020
S4 0.653 0.653 0.980
S5 0.822 0.822 0.395
S6 0.979 0.979 0.727

Results
- calculated total energy (eV/atom) = -7.00
- N(E_F) (states/eV/atom) = 0.36
- symmetry = C2/m



Record 4
Material: PrHfS2
Method: DFT, GGA-PBE
State: optimized geometry

abc: 7.073 7.073 7.073
angles: 30.95 30.95 30.95
Positions (direct):
Pr1 0.000 0.000 0.000
Hf1 0.175 0.175 0.175
S1 0.576 0.576 0.576
S2 0.767 0.767 0.767

Results
- calculated total energy (eV/atom) = -7.29
- N(E_F) (states/eV/atom) = 0.67
- symmetry = R3m



Record 5
Material: PrHfS2
Method: DFT, GGA-PBE
State: optimized geometry

abc: 8.632 8.632 8.632
angles: 26.05 26.05 26.05
Positions (direct):
Pr1 0.000 0.000 0.000
Hf1 0.500 0.500 0.500
S1 0.402 0.402 0.402
S2 0.598 0.598 0.598

Results
- calculated total energy (eV/atom) = -6.80
- N(E_F) (states/eV/atom) = 0.82
- symmetry = R-3m



Record 6
Material: Pr5Hf2S12
Method: DFT, GGA-PBE
State: optimized geometry

abc: 8.691 8.691 9.050
angles: 105.53 105.53 49.24
Positions (direct):
Pr1 0.000 0.000 0.000
Pr2 0.297 0.297 0.143
Pr3 0.312 0.312 0.665
Pr4 0.688 0.688 0.335
Pr5 0.703 0.703 0.857
Hf1 0.252 0.748 0.500
Hf2 0.748 0.252 0.500
S1 0.002 0.002 0.312
S2 0.090 0.576 0.414
S3 0.102 0.599 0.931
S4 0.401 0.898 0.069
S5 0.424 0.910 0.586
S6 0.497 0.497 0.297
S7 0.503 0.503 0.703
S8 0.576 0.090 0.414
S9 0.599 0.102 0.931
S10 0.898 0.401 0.069
S11 0.910 0.424 0.586
S12 0.998 0.998 0.688

Results
- calculated total energy (eV/atom) = -6.73
- N(E_F) (states/eV/atom) = 0.59
- symmetry = C2/m